No. 1
This record from Alexandria via LeMat-Bulk describes MnNbGa2 after structural relaxation. The functional is PBE-GGA.

It has space group P4/mmm (No. 123), with a = 3.978 Å, b = 3.978 Å, c = 3.900 Å, α = 90.00°, β = 90.00° and γ = 90.00°. Symmetry generates all atoms from Mn at (0.000, 0.000, 0.000), Nb at (0.500, 0.500, 0.000) and Ga at (0.000, 0.500, 0.500).

The total magnetization is 3.13 μB/f.u. The calculated total energy is -26.15 eV per cell.

No. 2
This record from Alexandria via LeMat-Bulk describes BaUNi2P2 after structural relaxation. The functional is PBE-GGA.

It has space group P-3m1 (No. 164), with a = 3.9919 Å, b = 3.9919 Å, c = 8.4148 Å, α = 90.00°, β = 90.00° and γ = 120.00°. Symmetry generates all atoms from Ba at (0.0000, 0.0000, 0.0000), U at (0.0000, 0.0000, 0.5000), Ni at (0.3333, 0.6667, 0.3051) and P at (0.3333, 0.6667, 0.7146).

The total magnetization is 1.68 μB/f.u. The calculated total energy is -40.57 eV per cell.

No. 3
This record from Alexandria via LeMat-Bulk describes ErIrPb after structural relaxation. The functional is PBE-GGA.

It has space group F-43m (No. 216), with a = 6.666 Å, b = 6.666 Å, c = 6.666 Å, α = 90.00°, β = 90.00° and γ = 90.00°. Symmetry generates all atoms from Er at (0.000, 0.000, 0.000), Ir at (0.250, 0.250, 0.250) and Pb at (0.000, 0.000, 0.500).

The total magnetization is 0.00 μB/f.u. The calculated total energy is -74.06 eV per cell.